1.
Nd2CO after structural relaxation, computed with GGA-PBE.

Cell: 3.702 3.702 6.368 Å, 73.10 73.10 60.00°
Positions (direct):
C 0.000 0.000 0.000
Nd 0.251 0.251 0.246
Nd 0.749 0.749 0.754
O 0.500 0.500 0.500

Results
Density: 7.38 g/cm³
Formation energy without anion corrections: -1459 meV per atom

=====

2.
Nd8C3O4 after structural relaxation, computed with GGA-PBE.

Cell: 7.302 7.302 7.677 Å, 61.60 61.60 60.00°
Positions (direct):
Nd 0.240 0.240 0.280
Nd 0.243 0.744 0.269
Nd 0.744 0.744 0.269
Nd 0.744 0.243 0.269
Nd 0.760 0.760 0.720
Nd 0.757 0.256 0.731
Nd 0.256 0.256 0.731
Nd 0.256 0.757 0.731
C 0.500 0.000 0.500
C 0.000 0.000 0.500
C 0.000 0.500 0.500
O 0.000 0.000 0.000
O 0.359 0.359 0.922
O 0.500 0.500 0.500
O 0.641 0.641 0.078

Results
Density: 7.03 g/cm³
Formation energy without anion corrections: -1460 meV per atom

=====

3.
Nd5CO5 after structural relaxation, computed with GGA-PBE.

Cell: 5.011 6.269 7.211 Å, 107.23 90.00 113.56°
Positions (direct):
Nd 0.844 0.689 0.181
Nd 0.834 0.668 0.666
Nd 0.500 0.000 0.000
Nd 0.166 0.332 0.334
Nd 0.156 0.311 0.819
C 0.000 0.000 0.000
O 0.678 0.356 0.321
O 0.682 0.363 0.857
O 0.000 0.000 0.500
O 0.318 0.637 0.143
O 0.322 0.644 0.679

Results
Density: 6.87 g/cm³
Formation energy without anion corrections: -2461 meV per atom

=====

4.
Nd2CO after structural relaxation, computed with GGA-PBE.

Cell: 3.647 3.647 6.645 Å, 74.08 74.08 60.00°
Positions (direct):
Nd 0.084 0.084 0.749
Nd 0.260 0.260 0.220
C 0.666 0.666 0.002
O 0.490 0.490 0.529

Results
Density: 7.24 g/cm³
Formation energy without anion corrections: -1333 meV per atom

=====

Q: Number 4 is which compound?
A: Nd2CO

=====

Q: formation energy without anion corrections of number 1 (Nd2CO)?
A: -1459 meV per atom

=====

Q: Among the records above, which one has the lowest formation energy without anion corrections?
A: Nd5CO5